CsNa3Ag2As2: relaxed, GGA-PBE.

Cell: 5.9972 5.7378 6.5853 Å, 90.00 104.18 90.00°
Sites, in units of the cell vectors:
Cs: 0.0000 0.0000 0.0000
Na: 0.0742 0.5000 0.3954
Na: 0.3673 0.0000 0.6627
Na: 0.7054 0.5000 0.6703
Ag: 0.5501 0.2547 0.1784
Ag: 0.5501 0.7453 0.1784
As: 0.3098 0.5000 0.8740
As: 0.7860 0.0000 0.4730

Values from the calculation:
The calculation puts the total energy at -22.2 eV/cell.



Cs3NaAg2As2: relaxed, GGA-PBE.

Cell: 6.7656 6.2110 6.9240 Å, 90.00 103.08 90.00°
Sites, in units of the cell vectors:
Cs: 0.0000 0.0000 0.0000
Cs: 0.2952 0.5000 0.2838
Cs: 0.6236 0.5000 0.9197
Na: 0.2753 0.0000 0.5879
Ag: 0.8311 0.2548 0.4866
Ag: 0.8311 0.7452 0.4866
As: 0.0889 0.5000 0.7167
As: 0.5630 0.0000 0.2926

Values from the calculation:
The calculation puts the total energy at -21.5 eV/cell. The value obtained for the energy above the most stable polymorph in this dataset is 0.0 meV per atom.



CsAgAsO: relaxed, GGA-PBE.

Cell: 3.7611 9.3249 5.7585 Å, 90.00 90.00 90.00°
Sites, in units of the cell vectors:
Cs: 0.0000 0.1535 0.0000
Cs: 0.0000 0.8465 0.5000
Ag: 0.5000 0.2604 0.4998
Ag: 0.5000 0.7396 0.9998
As: 0.5000 0.4994 0.2433
As: 0.5000 0.5006 0.7433
O: 0.0000 0.1567 0.5005
O: 0.0000 0.8433 0.0005

Values from the calculation:
The calculation puts the total energy at -28.1 eV/cell. The value obtained for the energy above the most stable polymorph in this dataset is 0.0 meV per atom.



CsAg2AsO4: relaxed, GGA-PBE.

Cell: 7.1781 7.1178 8.6662 Å, 53.00 52.37 74.63°
Sites, in units of the cell vectors:
Cs: 0.0000 0.0000 0.0000
Cs: 0.2500 0.2500 0.2500
Ag: 0.1301 0.6275 0.3990
Ag: 0.4066 0.8510 0.6225
Ag: 0.6275 0.1301 0.8434
Ag: 0.8510 0.4066 0.1199
As: 0.5004 0.5004 0.4996
As: 0.7504 0.7504 0.7496
O: 0.3667 0.3702 0.7976
O: 0.3702 0.3667 0.4656
O: 0.4524 0.7844 0.8833
O: 0.4662 0.7980 0.3678
O: 0.7844 0.4524 0.8798
O: 0.7980 0.4662 0.3680
O: 0.8820 0.8822 0.4520
O: 0.8822 0.8820 0.7838

Values from the calculation:
The calculation puts the total energy at -76.6 eV/cell.



CsAgAsO: relaxed, GGA-PBE.

Cell: 4.3136 7.8572 7.3871 Å, 90.00 90.00 90.00°
Sites, in units of the cell vectors:
Cs: 0.0000 0.2190 0.0000
Cs: 0.0000 0.7810 0.5000
Ag: 0.5000 0.3990 0.5926
Ag: 0.5000 0.6010 0.0926
As: 0.0000 0.2635 0.5027
As: 0.0000 0.7365 0.0027
O: 0.5000 0.4272 0.8713
O: 0.5000 0.5728 0.3713

Values from the calculation:
The calculation puts the total energy at -26.4 eV/cell. The value obtained for the energy above the most stable polymorph in this dataset is 211.3 meV per atom.



CsAgAsO: relaxed, GGA-PBE.

Cell: 4.6056 4.6056 9.1550 Å, 90.00 90.00 90.00°
Sites, in units of the cell vectors:
Cs: 0.2500 0.7500 0.0000
Cs: 0.7500 0.2500 0.0000
Ag: 0.2500 0.2500 0.2790
Ag: 0.7500 0.7500 0.7210
As: 0.2500 0.2500 0.5584
As: 0.7500 0.7500 0.4416
O: 0.2500 0.7500 0.5000
O: 0.7500 0.2500 0.5000

Values from the calculation:
The calculation puts the total energy at -23.9 eV/cell. The value obtained for the energy above the most stable polymorph in this dataset is 523.6 meV per atom.